First-principles (PBE) data for crystalline ZrBe at its relaxed geometry, as listed in Alexandria.

Cell: 3.0578 3.0578 8.3585 Å, 90.00 90.00 120.00°
Closest atoms and distances in Å follow each position.
Sites, in units of the cell vectors:
Zr 0.3333 0.6667 0.1744  3 Be 2.72
Zr 0.6667 0.3333 0.8256  3 Be 2.72
Be 0.3333 0.6667 0.5786  3 Be 2.20
Be 0.6667 0.3333 0.4214  3 Be 2.20

## Properties
calculated formation energy = 0.7 eV/f.u.
DFT total energy = -5.7785 eV/atom
SG = No. 164
theoretical density = 4.92 g cm⁻³
spin magnetization = 0.000 Bohr magnetons per cell